No. 1
Mn5Fe5C4, relaxed, DFT GGA-PBEsol; calculated formation energy = -0.074 eV/atom; density of states at the Fermi level = 14.984 states/eV/f.u.
1.0
4.4137 0.0000 0.0000
0.0008 4.8886 0.0000
2.1655 0.7464 5.6430
Mn Fe C
5 5 4
Direct
0.0000 0.0000 0.0000
0.0529 0.5539 0.5674
0.2393 0.0529 0.5705
0.6169 0.4456 0.4321
0.8616 0.5010 0.0011
0.2418 0.3307 0.2028
0.4194 0.8297 0.2030
0.4399 0.6698 0.8009
0.6199 0.1688 0.8002
0.8070 0.9473 0.4299
0.0081 0.6714 0.2269
0.2299 0.3289 0.7807
0.6306 0.1698 0.2205
0.8513 0.8282 0.7782

=====

No. 2
Mn4FeC2, relaxed, DFT GGA-PBEsol; calculated formation energy = -0.100 eV/atom; density of states at the Fermi level = 7.730 states/eV/f.u.
1.0
5.7010 -2.2043 0.0000
5.7010 2.2043 0.0000
-0.6166 0.0000 4.8137
Mn Fe C
8 2 4
Direct
0.0000 0.0000 0.0000
0.0317 0.4038 0.5545
0.2315 0.5761 0.3312
0.4071 0.4013 0.8295
0.4239 0.7685 0.6688
0.5962 0.9683 0.4455
0.5987 0.5929 0.1705
0.8340 0.1660 0.5000
0.2182 0.2137 0.0507
0.7863 0.7818 0.9493
0.2147 0.0169 0.3312
0.6152 0.1595 0.1666
0.8405 0.3848 0.8334
0.9831 0.7853 0.6688

=====

No. 3
Fe21Mo2C6, relaxed, DFT GGA-PBEsol; calculated formation energy = -0.067 eV/atom; density of states at the Fermi level = 33.219 states/eV/f.u.
1.0
0.0000 5.0929 5.0929
5.0929 0.0000 5.0929
5.0929 5.0929 0.0000
Fe Mo C
21 2 6
Direct
0.0000 0.0000 0.0000
0.0000 0.0000 0.3348
0.0000 0.0000 0.6652
0.0000 0.3348 0.0000
0.0000 0.3348 0.6652
0.0000 0.6652 0.0000
0.0000 0.6652 0.3348
0.1491 0.6170 0.6170
0.3348 0.0000 0.0000
0.3348 0.0000 0.6652
0.3348 0.6652 0.0000
0.3830 0.3830 0.3830
0.3830 0.3830 0.8509
0.3830 0.8509 0.3830
0.6170 0.1491 0.6170
0.6170 0.6170 0.1491
0.6170 0.6170 0.6170
0.6652 0.0000 0.0000
0.6652 0.0000 0.3348
0.6652 0.3348 0.0000
0.8509 0.3830 0.3830
0.2500 0.2500 0.2500
0.7500 0.7500 0.7500
0.2748 0.2748 0.7252
0.2748 0.7252 0.2748
0.2748 0.7252 0.7252
0.7252 0.2748 0.2748
0.7252 0.2748 0.7252
0.7252 0.7252 0.2748

=====

No. 4
Fe2Mo4C, relaxed, DFT GGA-PBEsol; calculated formation energy = -0.065 eV/atom; density of states at the Fermi level = 6.161 states/eV/f.u.
1.0
0.0000 5.5848 5.5848
5.5848 0.0000 5.5848
5.5848 5.5848 0.0000
Fe Mo C
8 16 4
Direct
0.1150 0.7950 0.7950
0.2050 0.2050 0.2050
0.2050 0.2050 0.8850
0.2050 0.8850 0.2050
0.7950 0.1150 0.7950
0.7950 0.7950 0.1150
0.7950 0.7950 0.7950
0.8850 0.2050 0.2050
0.0000 0.0000 0.0000
0.0000 0.0000 0.5000
0.0000 0.5000 0.0000
0.1848 0.1848 0.5652
0.1848 0.5652 0.1848
0.1848 0.5652 0.5652
0.4348 0.4348 0.8152
0.4348 0.8152 0.4348
0.4348 0.8152 0.8152
0.5000 0.0000 0.0000
0.5652 0.1848 0.1848
0.5652 0.1848 0.5652
0.5652 0.5652 0.1848
0.8152 0.4348 0.4348
0.8152 0.4348 0.8152
0.8152 0.8152 0.4348
0.0000 0.5000 0.5000
0.5000 0.0000 0.5000
0.5000 0.5000 0.0000
0.5000 0.5000 0.5000

=====

No. 5
Sm2Fe17CN, relaxed, DFT GGA-PBEsol; E_form (uncorrected) = -1.83 eV/f.u.; density of states at the Fermi level = 21.495 states/eV/f.u.
1.0
6.3535 0.0000 0.0000
0.6726 6.3410 0.0000
0.7113 0.6278 6.3200
Sm Fe C N
2 17 1 1
Direct
0.1571 0.1488 0.1631
0.8429 0.8512 0.8369
0.0000 0.5000 0.5000
0.1540 0.1564 0.6424
0.1558 0.6458 0.1614
0.2151 0.4989 0.7853
0.2202 0.7783 0.5024
0.3527 0.8429 0.8401
0.4032 0.4038 0.4053
0.4956 0.2184 0.7833
0.5000 0.0000 0.5000
0.5000 0.5000 0.0000
0.5044 0.7816 0.2167
0.5968 0.5962 0.5947
0.6473 0.1571 0.1599
0.7798 0.2217 0.4976
0.7849 0.5011 0.2147
0.8442 0.3542 0.8386
0.8460 0.8436 0.3576
0.0000 0.5000 0.0000
0.5000 0.0000 0.0000

=====

No. 6
Sr6FeC2N7, relaxed, DFT GGA-PBEsol; E_form (uncorrected) = -12.30 eV/f.u.; density of states at the Fermi level = 2.959 states/eV/f.u.
1.0
9.8269 0.0000 0.0000
0.0000 14.6220 0.0000
0.0000 0.0000 3.7966
Sr Fe C N
12 2 4 14
Direct
0.0713 0.1104 0.0583
0.0971 0.6666 0.5112
0.2447 0.9422 0.5555
0.2553 0.4422 0.4445
0.4029 0.1666 0.4888
0.4287 0.6104 0.9417
0.5713 0.3896 0.9417
0.5971 0.8334 0.4888
0.7447 0.5578 0.4445
0.7553 0.0578 0.5555
0.9029 0.3334 0.5112
0.9287 0.8896 0.0583
0.0000 0.5000 0.9804
0.5000 0.0000 0.0196
0.2268 0.2798 0.8186
0.2732 0.7798 0.1814
0.7268 0.2202 0.1814
0.7732 0.7202 0.8186
0.0000 0.0000 0.5646
0.1334 0.2500 0.6321
0.1675 0.5549 0.9771
0.1699 0.8076 0.0260
0.3301 0.3076 0.9740
0.3325 0.0549 0.0229
0.3666 0.7500 0.3679
0.5000 0.5000 0.4354
0.6334 0.2500 0.3679
0.6675 0.9451 0.0229
0.6699 0.6924 0.9740
0.8301 0.1924 0.0260
0.8325 0.4451 0.9771
0.8666 0.7500 0.6321

=====

No. 7
Tb2Fe17CN, relaxed, DFT GGA-PBEsol; E_form (uncorrected) = -2.36 eV/f.u.; density of states at the Fermi level = 22.614 states/eV/f.u.
1.0
6.3173 0.0000 0.0000
0.7442 6.2947 0.0000
0.7360 0.6403 6.3062
Tb Fe C N
2 17 1 1
Direct
0.1597 0.1507 0.1615
0.8403 0.8493 0.8385
0.0000 0.5000 0.5000
0.1534 0.1559 0.6445
0.1544 0.6479 0.1604
0.2143 0.7842 0.5026
0.2150 0.5005 0.7842
0.3508 0.8444 0.8409
0.4030 0.4038 0.4048
0.4970 0.2186 0.7820
0.5000 0.0000 0.5000
0.5000 0.5000 0.0000
0.5030 0.7814 0.2180
0.5970 0.5962 0.5952
0.6492 0.1556 0.1591
0.7850 0.4995 0.2158
0.7857 0.2158 0.4974
0.8456 0.3521 0.8396
0.8466 0.8441 0.3555
0.0000 0.5000 0.0000
0.5000 0.0000 0.0000

=====

No. 8
Na2FePCO7, relaxed, DFT GGA-PBEsol; energy above the most stable polymorph in this dataset = 0.0 meV/atom; E_form (uncorrected) = -21.62 eV/f.u.
1.0
5.2403 0.0000 0.0000
0.0881 6.4942 0.0000
0.1075 0.6467 8.7767
Na Fe P C O
4 2 2 2 14
Direct
0.2319 0.2807 0.4182
0.2473 0.0011 0.7613
0.7527 0.9989 0.2387
0.7681 0.7193 0.5818
0.2228 0.7282 0.1550
0.7772 0.2718 0.8450
0.2801 0.2375 0.0740
0.7199 0.7625 0.9260
0.2843 0.7565 0.4349
0.7157 0.2435 0.5651
0.0582 0.7295 0.3778
0.1155 0.2417 0.9302
0.2131 0.0518 0.1866
0.2371 0.4305 0.1641
0.3169 0.7973 0.5712
0.4348 0.7795 0.9751
0.4744 0.7345 0.3393
0.5256 0.2655 0.6607
0.5652 0.2205 0.0249
0.6831 0.2027 0.4288
0.7629 0.5695 0.8359
0.7869 0.9482 0.8134
0.8845 0.7583 0.0698
0.9418 0.2705 0.6222